No. 1
A relaxed structure of Tb2MgZr. Source: Alexandria, functional PBE.

Lattice parameters (Å, degrees): 3.4286 3.4286 9.3391 90.00 90.00 90.00
With the nearest neighbours (Å) after each atom.
Atoms (fractional coordinates):
Mg 0.5000 0.5000 0.0000  8 Tb 3.40, 4 Mg 3.43
Tb 0.0000 0.0000 0.7449  4 Zr 3.33, 4 Mg 3.40, 4 Tb 3.43
Tb 0.0000 0.0000 0.2551  4 Zr 3.33, 4 Mg 3.40, 4 Tb 3.43
Zr 0.5000 0.5000 0.5000  8 Tb 3.33, 4 Zr 3.43

Properties
**ΔE_f**: -2 meV per atom
**SG**: P4/mmm, No. 123
**Electronic total energy**: -4.85 eV per atom
**Total moment**: 0.00 μB per cell
**Volume**: 109.8 Å³/f.u.
**D(E_F)**: 1.2658 states/eV per atom
**Energy above the most stable polymorph in this dataset**: 0 meV per atom

---

No. 2
A relaxed structure of Tb2MgZr. Source: Alexandria, functional PBE.

Lattice parameters (Å, degrees): 5.3605 5.3605 5.3605 60.00 60.00 60.00
With the nearest neighbours (Å) after each atom.
Atoms (fractional coordinates):
Mg 0.5000 0.5000 0.5000  8 Tb 3.28
Tb 0.2500 0.2500 0.2500  4 Zr 3.28, 4 Mg 3.28
Tb 0.7500 0.7500 0.7500  4 Mg 3.28, 4 Zr 3.28
Zr 0.0000 0.0000 0.0000  8 Tb 3.28

Properties
**ΔE_f**: 127 meV per atom
**SG**: Fm-3m, No. 225
**Electronic total energy**: -4.72 eV per atom
**Total moment**: 1.98 μB per cell
**Volume**: 108.9 Å³/f.u.
**D(E_F)**: 1.3480 states/eV per atom
**Energy above the most stable polymorph in this dataset**: 129 meV per atom

---

No. 3
A relaxed structure of TbMg6Zr. Source: Alexandria, functional PBE.

Lattice parameters (Å, degrees): 4.6244 4.6244 8.8917 90.00 90.00 90.00
With the nearest neighbours (Å) after each atom.
Atoms (fractional coordinates):
Tb 0.0000 0.0000 0.0000  12 Mg 3.27-3.29
Mg 0.5000 0.5000 0.0000  4 Tb 3.27, 8 Mg 3.29
Mg 0.5000 0.5000 0.5000  8 Mg 3.13, 4 Zr 3.27
Mg 0.5000 0.0000 0.2633  2 Zr 3.13, 8 Mg 3.13-3.29, 2 Tb 3.29
Mg 0.5000 0.0000 0.7367  2 Zr 3.13, 8 Mg 3.13-3.29, 2 Tb 3.29
Mg 0.0000 0.5000 0.2633  2 Zr 3.13, 8 Mg 3.13-3.29, 2 Tb 3.29
Mg 0.0000 0.5000 0.7367  2 Zr 3.13, 8 Mg 3.13-3.29, 2 Tb 3.29
Zr 0.0000 0.0000 0.5000  12 Mg 3.13-3.27

Properties
**ΔE_f**: -14 meV per atom
**SG**: P4/mmm, No. 123
**Electronic total energy**: -2.86 eV per atom
**Total moment**: 0.00 μB per cell
**Volume**: 190.2 Å³/f.u.
**D(E_F)**: 0.8347 states/eV per atom

---

No. 4
A relaxed structure of Tb2MgZr. Source: Alexandria, functional PBE.

Lattice parameters (Å, degrees): 3.3861 3.3861 11.3178 81.35 81.35 59.89
With the nearest neighbours (Å) after each atom.
Atoms (fractional coordinates):
Tb 0.0795 0.0795 0.7613  3 Zr 3.30, 6 Tb 3.38-3.39, 3 Mg 3.50
Tb 0.2540 0.2540 0.2386  3 Zr 3.30, 6 Tb 3.38-3.39, 3 Mg 3.51
Mg 0.4997 0.4997 0.5003  6 Mg 3.38-3.39, 6 Tb 3.50-3.51
Zr 0.6668 0.6668 0.9997  6 Tb 3.30, 6 Zr 3.38-3.39

Properties
**ΔE_f**: 65 meV per atom
**SG**: R3m, No. 160
**Electronic total energy**: -4.79 eV per atom
**Total moment**: 0.00 μB per cell
**Volume**: 110.6 Å³/f.u.
**D(E_F)**: 1.0503 states/eV per atom
**Energy above the most stable polymorph in this dataset**: 67 meV per atom

---

No. 5
A relaxed structure of Tb4Mg5Zr. Source: Alexandria, functional PBE.

Lattice parameters (Å, degrees): 3.7144 3.7144 18.9874 90.00 90.00 90.00
With the nearest neighbours (Å) after each atom.
Atoms (fractional coordinates):
Tb 0.0000 0.0000 0.1893  8 Mg 3.27-3.28, 1 Zr 3.59
Tb 0.0000 0.0000 0.3963  8 Mg 3.28
Tb 0.0000 0.0000 0.6037  8 Mg 3.28
Tb 0.0000 0.0000 0.8107  8 Mg 3.27-3.28, 1 Zr 3.59
Mg 0.5000 0.5000 0.0870  4 Zr 3.10, 4 Tb 3.27, 1 Mg 3.30
Mg 0.5000 0.5000 0.2932  8 Tb 3.28
Mg 0.5000 0.5000 0.5000  8 Tb 3.28
Mg 0.5000 0.5000 0.7068  8 Tb 3.28
Mg 0.5000 0.5000 0.9130  4 Zr 3.10, 4 Tb 3.27, 1 Mg 3.30
Zr 0.0000 0.0000 0.0000  8 Mg 3.10

Properties
**ΔE_f**: -37 meV per atom
**SG**: P4/mmm, No. 123
**Electronic total energy**: -3.54 eV per atom
**Total moment**: 0.00 μB per cell
**Volume**: 262.0 Å³/f.u.
**D(E_F)**: 1.2761 states/eV per atom

---

No. 6
A relaxed structure of Mg4Tc3. Source: Alexandria, functional PBE.

Lattice parameters (Å, degrees): 5.1919 5.1919 5.2924 90.00 90.00 120.00
With the nearest neighbours (Å) after each atom.
Atoms (fractional coordinates):
Mg 0.0000 0.0000 0.2432  2 Mg 2.57-2.72
Mg 0.0000 0.0000 0.7568  2 Mg 2.57-2.72
Mg 0.3333 0.6667 0.5000  9 Mg 3.00-3.29, 6 Tc 3.04
Mg 0.6667 0.3333 0.5000  9 Mg 3.00-3.29, 6 Tc 3.04
Tc 0.5000 0.0000 0.0000  4 Tc 2.60, 4 Mg 2.90
Tc 0.0000 0.5000 0.0000  4 Tc 2.60, 4 Mg 2.90
Tc 0.5000 0.5000 0.0000  4 Tc 2.60, 4 Mg 2.90

Properties
**ΔE_f**: 168 meV per atom
**SG**: P6/mmm, No. 191
**Electronic total energy**: -5.19 eV per atom
**Total moment**: 0.00 μB per cell
**Volume**: 123.5 Å³/f.u.
**D(E_F)**: 0.9368 states/eV per atom
**Energy above the most stable polymorph in this dataset**: 51 meV per atom

---

Q: D(E_F) of number 5 (Tb4Mg5Zr)?
A: 1.2761 states/eV per atom